# BaCuAsPt

BaCuAsPt after structural relaxation (PBE-GGA, Alexandria).

Calculated values
Calculated volume ... 23.04 A^3/atom
Formation energy ... -0.468 eV/atom
Total energy ... -37.16 eV per cell

a b c (Å): 3.9129 3.9129 12.0393
angles (deg): 90.00 90.00 90.00
With the nearest neighbours (Å) after each atom.
Element x y z (fractional)
Cu 0.7500 0.2500 0.0000  4 As 2.46
Ba 0.2500 0.2500 0.7203  4 Pt 3.30, 4 As 3.34
Ba 0.7500 0.7500 0.2797  4 Pt 3.30, 4 As 3.34
As 0.7500 0.7500 0.8758  4 Cu 2.46
Cu 0.2500 0.7500 0.0000  4 As 2.46
As 0.2500 0.2500 0.1242  4 Cu 2.46
Pt 0.7500 0.2500 0.5000  4 Pt 2.77
Pt 0.2500 0.7500 0.5000  4 Pt 2.77


# Ba2CuAs3Pt4

Ba2CuAs3Pt4 after structural relaxation (PBE-GGA, Alexandria).

Calculated values
Calculated volume ... 21.11 A^3/atom
Formation energy ... -0.680 eV/atom
Total energy ... -52.85 eV per cell

a b c (Å): 4.5610 4.5610 10.1476
angles (deg): 90.00 90.00 90.00
With the nearest neighbours (Å) after each atom.
Element x y z (fractional)
Pt 0.0000 0.5000 0.3832  2 Cu 2.57, 3 As 2.57-2.61
Pt 0.5000 0.5000 0.0000  4 As 2.62
Pt 0.0000 0.0000 0.0000  4 As 2.62
As 0.0000 0.5000 0.1261  5 Pt 2.61-2.62
As 0.0000 0.0000 0.5000  4 Pt 2.57
Ba 0.5000 0.0000 0.2561  6 As 3.37-3.48, 2 Cu 3.37, 9 Pt 3.46-3.66
As 0.5000 0.0000 0.8739  5 Pt 2.61-2.62
Ba 0.0000 0.5000 0.7439  2 Cu 3.37, 6 As 3.37-3.48, 9 Pt 3.46-3.66
Cu 0.5000 0.5000 0.5000  4 Pt 2.57
Pt 0.5000 0.0000 0.6168  3 As 2.57-2.61, 2 Cu 2.57


# RbBaCuAs2

RbBaCuAs2 after structural relaxation (PBE-GGA, Alexandria).

Calculated values
Calculated volume ... 47.88 A^3/atom
Formation energy ... 0.915 eV/atom
Total energy ... -11.71 eV per cell

a b c (Å): 5.8603 6.9707 5.8603
angles (deg): 90.00 90.00 90.00
With the nearest neighbours (Å) after each atom.
Element x y z (fractional)
Ba 0.0000 0.0000 0.0000  4 As 2.93
Cu 0.5000 0.5000 0.5000  4 Rb 4.14, 8 As 4.55
Rb 0.0000 0.5000 0.0000  2 Ba 3.49
As 0.5000 0.0000 0.0000  2 Ba 2.93
As 0.0000 0.0000 0.5000  2 Ba 2.93


# Ba2CuAs2S6

Ba2CuAs2S6 after structural relaxation (PBE-GGA, Alexandria).

Calculated values
Calculated volume ... 26.14 A^3/atom
Total energy ... -50.25 eV per cell
Uncorrected formation energy ... -749.5 meV per atom

a b c (Å): 6.9639 6.9639 7.9406
angles (deg): 63.99 63.99 60.00
With the nearest neighbours (Å) after each atom.
Element x y z (fractional)
S 0.2330 0.7813 0.7528  1 As 2.25, 1 Cu 2.48
S 0.2330 0.2330 0.7528  1 As 2.25, 1 Cu 2.48
Ba 0.7770 0.7770 0.6689  9 S 3.41-3.53
S 0.7670 0.2187 0.2472  1 As 2.25, 1 Cu 2.48
S 0.7670 0.7670 0.2472  1 As 2.25, 1 Cu 2.48
S 0.2187 0.7670 0.2472  1 As 2.25, 1 Cu 2.48
Ba 0.2230 0.2230 0.3311  9 S 3.41-3.53
Cu 0.0000 0.0000 0.0000  6 S 2.48
As 0.4379 0.4379 0.6862  3 S 2.25
As 0.5621 0.5621 0.3138  3 S 2.25
S 0.7813 0.2330 0.7528  1 As 2.25, 1 Cu 2.48